VASP calculation (GGA-PBE) on a relaxed SmMgScCu crystal.

Unit cell a=7.1260 b=7.1260 c=7.1260 alpha=90.00 beta=90.00 gamma=90.00
Space group F-43m (No. 216)
Asymmetric unit:
Sm 0.0000 0.0000 0.0000 [4 per cell]
Mg 0.2500 0.2500 0.7500 [4 per cell]
Sc 0.0000 0.0000 0.5000 [4 per cell]
Cu 0.2500 0.2500 0.2500 [4 per cell]

Results
The calculation puts the formation energy from the elements at -0.03 eV/atom. The calculation puts the density of states at the Fermi level at 1.144 states/eV per atom. The value obtained for the volume is 22.62 Å³ per atom.